1.
Below is a relaxed structure of AlCo2Cl, with properties calculated at the PBE-GGA level.

Properties
crystal system = trigonal
density of states at the Fermi level = 13.013 states/eV/cell
VASP energy = -4.838 eV per atom
space-group type = R-3m (166)
excess energy over the best structure of this formula in the dataset = 203 meV/atom
energy relative to the elements, uncorrected = 0.11 eV/atom

abc: 2.863 2.863 22.479
angles: 90.00 90.00 120.00
Sites, in units of the cell vectors:
Al: 0.000 0.000 0.000
Al: 0.333 0.667 0.667
Al: 0.667 0.333 0.333
Co: 0.000 0.000 0.249
Co: 0.000 0.000 0.751
Co: 0.333 0.667 0.418
Co: 0.333 0.667 0.916
Co: 0.667 0.333 0.084
Co: 0.667 0.333 0.582
Cl: 0.000 0.000 0.500
Cl: 0.333 0.667 0.167
Cl: 0.667 0.333 0.833

2.
Below is a relaxed structure of Al2Co2Cl, with properties calculated at the PBE-GGA level.

Properties
crystal system = tetragonal
density of states at the Fermi level = 15.863 states/eV/cell
VASP energy = -4.502 eV per atom
space-group type = I4/mmm (139)
excess energy over the best structure of this formula in the dataset = 260 meV/atom
energy relative to the elements, uncorrected = 0.21 eV/atom

abc: 3.659 3.659 11.657
angles: 90.00 90.00 90.00
Sites, in units of the cell vectors:
Al: 0.000 0.500 0.250
Al: 0.000 0.500 0.750
Al: 0.500 0.000 0.250
Al: 0.500 0.000 0.750
Co: 0.000 0.000 0.113
Co: 0.000 0.000 0.887
Co: 0.500 0.500 0.387
Co: 0.500 0.500 0.613
Cl: 0.000 0.000 0.500
Cl: 0.500 0.500 0.000

3.
Below is a relaxed structure of AlCoCl3, with properties calculated at the PBE-GGA level.

Properties
crystal system = cubic
density of states at the Fermi level = 7.084 states/eV/cell
VASP energy = -3.589 eV per atom
space-group type = Pm-3m (221)
excess energy over the best structure of this formula in the dataset = 0 meV/atom
energy relative to the elements, uncorrected = -0.31 eV/atom

abc: 4.798 4.798 4.798
angles: 90.00 90.00 90.00
Sites, in units of the cell vectors:
Al: 0.000 0.000 0.000
Co: 0.500 0.500 0.500
Cl: 0.000 0.500 0.500
Cl: 0.500 0.000 0.500
Cl: 0.500 0.500 0.000

4.
Below is a relaxed structure of Al2CoCl, with properties calculated at the PBE-GGA level.

Properties
crystal system = monoclinic
density of states at the Fermi level = 5.064 states/eV/cell
VASP energy = -3.947 eV per atom
space-group type = C2/m (12)
excess energy over the best structure of this formula in the dataset = 613 meV/atom
energy relative to the elements, uncorrected = 0.16 eV/atom

abc: 10.536 2.853 4.381
angles: 90.00 100.20 90.00
Sites, in units of the cell vectors:
Al: 0.195 0.000 0.227
Al: 0.305 0.500 0.773
Al: 0.695 0.500 0.227
Al: 0.805 0.000 0.773
Co: 0.000 0.500 0.000
Co: 0.500 0.000 0.000
Cl: 0.000 0.000 0.500
Cl: 0.500 0.500 0.500

5.
Below is a relaxed structure of AlCo2Cl, with properties calculated at the PBE-GGA level.

Properties
crystal system = tetragonal
density of states at the Fermi level = 3.948 states/eV/cell
VASP energy = -4.825 eV per atom
space-group type = P4/mmm (123)
excess energy over the best structure of this formula in the dataset = 216 meV/atom
energy relative to the elements, uncorrected = 0.13 eV/atom

abc: 2.945 2.945 6.075
angles: 90.00 90.00 90.00
Sites, in units of the cell vectors:
Al: 0.000 0.000 0.000
Co: 0.500 0.500 0.222
Co: 0.500 0.500 0.778
Cl: 0.000 0.000 0.500

6.
Below is a relaxed structure of Al2CoCl, with properties calculated at the PBE-GGA level.

Properties
crystal system = orthorhombic
density of states at the Fermi level = 3.503 states/eV/cell
VASP energy = -4.324 eV per atom
space-group type = Imm2 (44)
excess energy over the best structure of this formula in the dataset = 236 meV/atom
energy relative to the elements, uncorrected = -0.21 eV/atom

abc: 2.897 3.316 16.069
angles: 90.00 90.00 90.00
Sites, in units of the cell vectors:
Al: 0.000 0.000 0.000
Al: 0.000 0.500 0.170
Al: 0.500 0.000 0.670
Al: 0.500 0.500 0.500
Co: 0.000 0.000 0.555
Co: 0.500 0.500 0.055
Cl: 0.000 0.500 0.770
Cl: 0.500 0.000 0.270

7.
Below is a relaxed structure of Al2CoCl, with properties calculated at the PBE-GGA level.

Properties
crystal system = trigonal
density of states at the Fermi level = 5.529 states/eV/cell
VASP energy = -4.426 eV per atom
space-group type = R-3m (166)
excess energy over the best structure of this formula in the dataset = 135 meV/atom
energy relative to the elements, uncorrected = -0.32 eV/atom

abc: 3.108 3.108 22.082
angles: 90.00 90.00 120.00
Sites, in units of the cell vectors:
Al: 0.000 0.000 0.238
Al: 0.000 0.000 0.762
Al: 0.333 0.667 0.429
Al: 0.333 0.667 0.904
Al: 0.667 0.333 0.096
Al: 0.667 0.333 0.571
Co: 0.000 0.000 0.500
Co: 0.333 0.667 0.167
Co: 0.667 0.333 0.833
Cl: 0.000 0.000 0.000
Cl: 0.333 0.667 0.667
Cl: 0.667 0.333 0.333

8.
Below is a relaxed structure of Al2CoCl8, with properties calculated at the PBE-GGA level.

Properties
crystal system = monoclinic
density of states at the Fermi level = 0.869 states/eV/cell
VASP energy = -3.917 eV per atom
space-group type = C2/c (15)
energy relative to the elements, uncorrected = -1.25 eV/atom

abc: 8.413 8.413 11.658
angles: 92.17 92.17 60.79
Sites, in units of the cell vectors:
Al: 0.151 0.690 0.949
Al: 0.310 0.849 0.551
Al: 0.690 0.151 0.449
Al: 0.849 0.310 0.051
Co: 0.011 0.989 0.750
Co: 0.989 0.011 0.250
Cl: 0.117 0.158 0.136
Cl: 0.128 0.722 0.136
Cl: 0.158 0.117 0.636
Cl: 0.160 0.722 0.617
Cl: 0.278 0.840 0.883
Cl: 0.278 0.872 0.364
Cl: 0.287 0.410 0.908
Cl: 0.410 0.287 0.408
Cl: 0.590 0.713 0.592
Cl: 0.713 0.590 0.092
Cl: 0.722 0.128 0.636
Cl: 0.722 0.160 0.117
Cl: 0.840 0.278 0.383
Cl: 0.842 0.883 0.364
Cl: 0.872 0.278 0.864
Cl: 0.883 0.842 0.864

9.
Below is a relaxed structure of AlCo2Cl, with properties calculated at the PBE-GGA level.

Properties
crystal system = orthorhombic
density of states at the Fermi level = 5.407 states/eV/cell
VASP energy = -5.040 eV per atom
space-group type = Amm2 (38)
excess energy over the best structure of this formula in the dataset = 0 meV/atom
energy relative to the elements, uncorrected = -0.09 eV/atom

abc: 3.123 3.058 12.620
angles: 90.00 90.00 90.00
Sites, in units of the cell vectors:
Al: 0.000 0.000 0.000
Al: 0.000 0.500 0.500
Co: 0.500 0.000 0.396
Co: 0.500 0.000 0.586
Co: 0.500 0.500 0.086
Co: 0.500 0.500 0.896
Cl: 0.500 0.000 0.760
Cl: 0.500 0.500 0.260

10.
Below is a relaxed structure of AlCoCl6, with properties calculated at the PBE-GGA level.

Properties
crystal system = monoclinic
VASP energy = -3.762 eV per atom
space-group type = C2/m (12)
energy relative to the elements, uncorrected = -1.02 eV/atom

abc: 6.930 11.850 5.774
angles: 90.00 95.75 90.00
Sites, in units of the cell vectors:
Al: 0.000 0.000 0.000
Al: 0.500 0.500 0.000
Co: 0.000 0.000 0.500
Co: 0.500 0.500 0.500
Cl: 0.129 0.130 0.274
Cl: 0.129 0.870 0.274
Cl: 0.241 0.500 0.227
Cl: 0.259 0.000 0.773
Cl: 0.371 0.370 0.726
Cl: 0.371 0.630 0.726
Cl: 0.629 0.370 0.274
Cl: 0.629 0.630 0.274
Cl: 0.741 0.000 0.227
Cl: 0.759 0.500 0.773
Cl: 0.871 0.130 0.726
Cl: 0.871 0.870 0.726

11.
Below is a relaxed structure of Al2CoCl, with properties calculated at the PBE-GGA level.

Properties
crystal system = tetragonal
density of states at the Fermi level = 0.117 states/eV/cell
VASP energy = -3.938 eV per atom
space-group type = I-42d (122)
excess energy over the best structure of this formula in the dataset = 622 meV/atom
energy relative to the elements, uncorrected = 0.17 eV/atom

abc: 6.173 6.173 8.412
angles: 90.00 90.00 90.00
Sites, in units of the cell vectors:
Al: 0.210 0.250 0.125
Al: 0.250 0.710 0.375
Al: 0.250 0.790 0.875
Al: 0.290 0.250 0.625
Al: 0.710 0.750 0.625
Al: 0.750 0.210 0.875
Al: 0.750 0.290 0.375
Al: 0.790 0.750 0.125
Co: 0.000 0.000 0.000
Co: 0.000 0.500 0.250
Co: 0.500 0.000 0.750
Co: 0.500 0.500 0.500
Cl: 0.000 0.000 0.500
Cl: 0.000 0.500 0.750
Cl: 0.500 0.000 0.250
Cl: 0.500 0.500 0.000

12.
Below is a relaxed structure of AlCo2Cl, with properties calculated at the PBE-GGA level.

Properties
crystal system = monoclinic
density of states at the Fermi level = 10.099 states/eV/cell
VASP energy = -4.885 eV per atom
space-group type = C2/m (12)
excess energy over the best structure of this formula in the dataset = 156 meV/atom
energy relative to the elements, uncorrected = 0.07 eV/atom

abc: 8.086 2.830 6.873
angles: 90.00 122.43 90.00
Sites, in units of the cell vectors:
Al: 0.000 0.000 0.000
Al: 0.500 0.500 0.000
Co: 0.142 0.500 0.836
Co: 0.358 0.000 0.164
Co: 0.642 0.000 0.836
Co: 0.858 0.500 0.164
Cl: 0.000 0.000 0.500
Cl: 0.500 0.500 0.500

Look up the VASP energy of the twelfth one. -4.885 eV per atom

Number 9 is which compound? AlCo2Cl

Look up the VASP energy of the first one. -4.838 eV per atom